[1]
# Nd4PdCBr2

Nd4PdCBr2 after structural relaxation (PBE-GGA, the Alexandria database).

POSCAR file:
```
Nd4PdCBr2
1.0
3.941 0.000 0.000
0.000 7.318 0.220
0.000 -2.488 7.290
C Nd Br Pd
1 4 2 1
Direct
0.500 0.500 0.000 C
0.500 0.735 0.805 Nd
0.000 0.703 0.191 Nd
0.500 0.265 0.195 Nd
0.000 0.297 0.809 Nd
0.500 0.000 0.500 Br
0.000 0.500 0.500 Br
0.000 0.000 0.000 Pd
```

Values from the calculation:
**Size of the total moment**: 0.00 μB per formula unit
**E**: -5.462 eV/atom

---

[2]
# NaGa6Se8

NaGa6Se8 after structural relaxation (PBE-GGA, the Alexandria database).

POSCAR file:
```
NaGa6Se8
1.0
7.256 -0.209 -0.216
-0.435 7.246 -0.216
-0.435 -0.449 7.235
Ga Se Na
6 8 1
Direct
0.631 0.167 0.332 Ga
0.833 0.668 0.369 Ga
0.167 0.332 0.631 Ga
0.369 0.833 0.668 Ga
0.332 0.631 0.167 Ga
0.668 0.369 0.833 Ga
0.334 0.334 0.334 Se
0.666 0.666 0.666 Se
0.842 0.367 0.155 Se
0.155 0.842 0.367 Se
0.367 0.155 0.842 Se
0.633 0.845 0.158 Se
0.158 0.633 0.845 Se
0.845 0.158 0.633 Se
0.000 0.000 0.000 Na
```

Values from the calculation:
**Size of the total moment**: 0.00 μB per formula unit
**E**: -3.626 eV/atom

---

[3]
# ZnGa2CuSe4

ZnGa2CuSe4 after structural relaxation (PBE-GGA, the Alexandria database).

POSCAR file:
```
ZnGa2CuSe4
1.0
-1.034 -5.210 3.043
3.408 -0.916 -5.002
3.021 3.821 3.708
Zn Se Ga Cu
1 4 2 1
Direct
0.500 0.500 0.000 Zn
0.067 0.418 0.000 Se
0.418 0.067 0.000 Se
0.582 0.582 0.650 Se
0.933 0.933 0.350 Se
0.750 0.250 0.500 Ga
0.250 0.750 0.500 Ga
0.000 0.000 0.000 Cu
```

Values from the calculation:
**Size of the total moment**: 0.00 μB per formula unit
**E**: -3.379 eV/atom

---

[4]
# Ba2H6PtRh

Ba2H6PtRh after structural relaxation (PBE-GGA, the Alexandria database).

POSCAR file:
```
Ba2H6PtRh
1.0
-0.199 5.290 -0.991
-1.935 0.855 4.953
3.062 3.516 3.519
H Rh Ba Pt
6 1 2 1
Direct
0.193 0.193 0.615 H
0.745 0.745 0.000 H
0.745 0.255 0.000 H
0.255 0.745 0.000 H
0.255 0.255 0.000 H
0.807 0.807 0.385 H
0.000 0.000 0.000 Rh
0.750 0.250 0.500 Ba
0.250 0.750 0.500 Ba
0.500 0.500 0.000 Pt
```

Values from the calculation:
**Size of the total moment**: 0.00 μB per formula unit
**E**: -4.241 eV/atom

---

[5]
# BaLa2Os

BaLa2Os after structural relaxation (PBE-GGA, the Alexandria database).

POSCAR file:
```
BaLa2Os
1.0
6.361 0.000 0.000
3.120 5.543 0.000
-4.740 -2.772 3.211
La Os Ba
2 1 1
Direct
0.000 0.000 0.000 La
0.250 0.750 0.500 La
0.500 0.500 0.000 Os
0.750 0.250 0.500 Ba
```

Values from the calculation:
**Offset from the most stable computed form**: 564 meV/atom
**Size of the total moment**: 0.00 μB per formula unit
**ΔE_f**: 0.515 eV per atom
**E**: -5.237 eV/atom

---

[6]
# Ce8Zn2Ru3

Ce8Zn2Ru3 after structural relaxation (PBE-GGA, the Alexandria database).

POSCAR file:
```
Ce8Zn2Ru3
1.0
8.088 0.000 0.267
0.000 6.526 0.000
-2.856 -3.263 6.084
Zn Ce Ru
2 8 3
Direct
0.785 0.779 0.558 Zn
0.215 0.221 0.442 Zn
0.827 0.141 0.283 Ce
0.986 0.618 0.237 Ce
0.418 0.847 0.259 Ce
0.582 0.588 0.741 Ce
0.014 0.382 0.763 Ce
0.418 0.412 0.259 Ce
0.173 0.859 0.717 Ce
0.582 0.153 0.741 Ce
0.000 0.797 0.000 Ru
0.500 0.000 0.000 Ru
0.000 0.203 0.000 Ru
```

Values from the calculation:
**Size of the total moment**: 2.95 μB per formula unit
**ΔE_f**: -0.069 eV per atom
**E**: -6.057 eV/atom

---

[7]
# LiZn4Pd2

LiZn4Pd2 after structural relaxation (PBE-GGA, the Alexandria database).

POSCAR file:
```
LiZn4Pd2
1.0
4.389 0.000 0.000
0.000 4.389 0.000
2.194 2.194 6.380
Pd Li Zn
2 1 4
Direct
0.610 0.610 0.781 Pd
0.390 0.390 0.219 Pd
0.000 0.000 0.000 Li
0.500 0.000 0.000 Zn
0.195 0.195 0.611 Zn
0.000 0.500 0.000 Zn
0.805 0.805 0.389 Zn
```

Values from the calculation:
**Offset from the most stable computed form**: 490 meV/atom
**Size of the total moment**: 0.00 μB per formula unit
**ΔE_f**: 0.115 eV per atom
**E**: -2.370 eV/atom

---

[8]
# PuSiHRh2

PuSiHRh2 after structural relaxation (PBE-GGA, the Alexandria database).

POSCAR file:
```
PuSiHRh2
1.0
3.818 0.000 0.000
-1.909 5.448 0.000
0.000 0.000 6.984
Rh Pu Si H
4 2 2 2
Direct
0.160 0.319 0.950 Rh
0.840 0.681 0.450 Rh
0.840 0.681 0.050 Rh
0.160 0.319 0.550 Rh
0.560 0.120 0.250 Pu
0.440 0.880 0.750 Pu
0.281 0.563 0.250 Si
0.719 0.437 0.750 Si
0.000 0.000 0.500 H
0.000 0.000 0.000 H
```

Values from the calculation:
**Size of the total moment**: 4.90 μB per formula unit
**E**: -8.213 eV/atom

---

[9]
# K2HfAgS4

K2HfAgS4 after structural relaxation (PBE-GGA, the Alexandria database).

POSCAR file:
```
K2HfAgS4
1.0
3.777 0.000 0.000
0.000 7.751 0.028
0.000 2.885 6.791
Hf S Ag K
1 4 1 2
Direct
0.000 0.500 0.500 Hf
0.000 0.655 0.759 S
0.000 0.345 0.241 S
0.500 0.718 0.309 S
0.500 0.282 0.691 S
0.500 0.500 0.000 Ag
0.500 0.000 0.500 K
0.000 0.000 0.000 K
```

Values from the calculation:
**Size of the total moment**: 0.00 μB per formula unit
**E**: -4.996 eV/atom

---

[10]
# LaYSc

LaYSc after structural relaxation (PBE-GGA, the Alexandria database).

POSCAR file:
```
LaYSc
1.0
5.373 0.000 0.000
2.687 4.653 0.000
2.687 1.551 4.387
La Sc Y
1 1 1
Direct
0.500 0.500 0.500 La
0.750 0.750 0.750 Sc
0.000 0.000 0.000 Y
```

Values from the calculation:
**Offset from the most stable computed form**: 616 meV/atom
**Size of the total moment**: 0.00 μB per formula unit
**ΔE_f**: 0.661 eV per atom
**E**: -5.246 eV/atom

---

[11]
# RbScP2O6

RbScP2O6 after structural relaxation (PBE-GGA, the Alexandria database).

POSCAR file:
```
RbScP2O6
1.0
6.337 -0.787 -1.165
-1.557 6.193 -1.165
-2.741 -3.099 9.738
Rb O Sc P
2 12 2 4
Direct
0.826 0.174 0.750 Rb
0.174 0.826 0.250 Rb
0.039 0.506 0.683 O
0.749 0.616 0.506 O
0.961 0.494 0.317 O
0.506 0.039 0.183 O
0.791 0.691 0.772 O
0.494 0.961 0.817 O
0.251 0.384 0.494 O
0.209 0.309 0.228 O
0.309 0.209 0.728 O
0.384 0.251 0.994 O
0.691 0.791 0.272 O
0.616 0.749 0.006 O
0.422 0.578 0.750 Sc
0.578 0.422 0.250 Sc
0.070 0.315 0.320 P
0.930 0.685 0.680 P
0.315 0.070 0.820 P
0.685 0.930 0.180 P
```

Values from the calculation:
**Size of the total moment**: 0.00 μB per formula unit
**E**: -7.286 eV/atom

---

[12]
# SbP2Ir

SbP2Ir after structural relaxation (PBE-GGA, the Alexandria database).

POSCAR file:
```
SbP2Ir
1.0
-1.365 -2.783 -4.658
-1.518 -5.314 0.869
-0.973 5.464 0.707
P Sb Ir
2 1 1
Direct
0.453 0.453 0.000 P
0.047 0.047 0.000 P
0.750 0.250 0.500 Sb
0.250 0.750 0.500 Ir
```

Values from the calculation:
**Size of the total moment**: 0.00 μB per formula unit
**E**: -5.645 eV/atom

---

Which of these has the highest E? LiZn4Pd2